Entry 1:
Entry from Alexandria via LeMat-Bulk: crystalline LiZrAlCd at its relaxed geometry (GGA-PBE).

Properties
D(E_F) ... 0.365 states/eV per atom
Spin magnetization ... 0.0 Bohr magnetons per cell
Crystal system ... cubic

Cell lengths 6.753, 6.753, 6.753 Å; angles 90.00, 90.00, 90.00 degrees
Element x y z (fractional)
Li 0.000 0.000 0.000
Li 0.000 0.500 0.500
Li 0.500 0.000 0.500
Li 0.500 0.500 0.000
Zr 0.000 0.000 0.500
Zr 0.000 0.500 0.000
Zr 0.500 0.000 0.000
Zr 0.500 0.500 0.500
Al 0.250 0.250 0.250
Al 0.250 0.750 0.750
Al 0.750 0.250 0.750
Al 0.750 0.750 0.250
Cd 0.250 0.250 0.750
Cd 0.250 0.750 0.250
Cd 0.750 0.250 0.250
Cd 0.750 0.750 0.750


Entry 2:
Entry from Alexandria via LeMat-Bulk: crystalline LuAl4Cd at its relaxed geometry (GGA-PBE).

Properties
D(E_F) ... 0.677 states/eV per atom
Spin magnetization ... 0.0 Bohr magnetons per cell
Crystal system ... cubic

Cell lengths 5.497, 5.497, 5.497 Å; angles 60.00, 60.00, 60.00 degrees
Element x y z (fractional)
Lu 0.000 0.000 0.000
Al 0.374 0.374 0.374
Al 0.374 0.374 0.877
Al 0.374 0.877 0.374
Al 0.877 0.374 0.374
Cd 0.750 0.750 0.750


Entry 3:
Entry from Alexandria via LeMat-Bulk: crystalline LuAlCd at its relaxed geometry (GGA-PBE).

Properties
D(E_F) ... 0.487 states/eV per atom
Spin magnetization ... 0.0 Bohr magnetons per cell
Crystal system ... hexagonal

Cell lengths 4.678, 4.678, 3.451 Å; angles 90.00, 90.00, 120.00 degrees
Element x y z (fractional)
Lu 0.000 0.000 0.000
Al 0.667 0.333 0.500
Cd 0.333 0.667 0.500


Entry 4:
Entry from Alexandria via LeMat-Bulk: crystalline LuAlCd at its relaxed geometry (GGA-PBE).

Properties
D(E_F) ... 0.672 states/eV per atom
Spin magnetization ... 0.2 Bohr magnetons per cell
Crystal system ... tetragonal

Cell lengths 3.279, 3.279, 12.216 Å; angles 90.00, 90.00, 90.00 degrees
Element x y z (fractional)
Lu 0.000 0.000 0.000
Lu 0.500 0.500 0.500
Al 0.000 0.000 0.662
Al 0.500 0.500 0.162
Cd 0.000 0.000 0.314
Cd 0.500 0.500 0.814


Entry 5:
Entry from Alexandria via LeMat-Bulk: crystalline LuMgAlCd at its relaxed geometry (GGA-PBE).

Properties
D(E_F) ... 0.219 states/eV per atom
Spin magnetization ... 0.0 Bohr magnetons per cell
Crystal system ... cubic

Cell lengths 7.028, 7.028, 7.028 Å; angles 90.00, 90.00, 90.00 degrees
Element x y z (fractional)
Lu 0.000 0.000 0.000
Lu 0.000 0.500 0.500
Lu 0.500 0.000 0.500
Lu 0.500 0.500 0.000
Mg 0.000 0.000 0.500
Mg 0.000 0.500 0.000
Mg 0.500 0.000 0.000
Mg 0.500 0.500 0.500
Al 0.250 0.250 0.750
Al 0.250 0.750 0.250
Al 0.750 0.250 0.250
Al 0.750 0.750 0.750
Cd 0.250 0.250 0.250
Cd 0.250 0.750 0.750
Cd 0.750 0.250 0.750
Cd 0.750 0.750 0.250


Entry 6:
Entry from Alexandria via LeMat-Bulk: crystalline NaLuAlCd at its relaxed geometry (GGA-PBE).

Properties
D(E_F) ... 0.572 states/eV per atom
Spin magnetization ... 0.0 Bohr magnetons per cell
Crystal system ... cubic

Cell lengths 7.205, 7.205, 7.205 Å; angles 90.00, 90.00, 90.00 degrees
Element x y z (fractional)
Na 0.000 0.000 0.000
Na 0.000 0.500 0.500
Na 0.500 0.000 0.500
Na 0.500 0.500 0.000
Lu 0.000 0.000 0.500
Lu 0.000 0.500 0.000
Lu 0.500 0.000 0.000
Lu 0.500 0.500 0.500
Al 0.250 0.250 0.750
Al 0.250 0.750 0.250
Al 0.750 0.250 0.250
Al 0.750 0.750 0.750
Cd 0.250 0.250 0.250
Cd 0.250 0.750 0.750
Cd 0.750 0.250 0.750
Cd 0.750 0.750 0.250


Number 1: ΔH_f (0 K) -130 meV per atom. Number 2: ΔH_f (0 K) -131 meV per atom. Number 3: ΔH_f (0 K) -332 meV per atom. Number 4: ΔH_f (0 K) -174 meV per atom. Number 5: ΔH_f (0 K) -223 meV per atom. Number 6: ΔH_f (0 K) -63 meV per atom.